#w
# GGA+U FeP3O, relaxed
# Space group: No. 221
# D(E_F) in states/eV per atom: 0.682
# Crystal system: cubic
data_FeP3O
_space_group_name_H-M_alt 'P 1'
_space_group_IT_number 1
_cell_length_a 4.139
_cell_length_b 4.139
_cell_length_c 4.139
_cell_angle_alpha 90.00
_cell_angle_beta 90.00
_cell_angle_gamma 90.00
loop_
_space_group_symop_operation_xyz
'x,y,z'
loop_
_atom_site_label
_atom_site_type_symbol
_atom_site_fract_x
_atom_site_fract_y
_atom_site_fract_z
P1 P 0.000 0.000 0.500
P2 P 0.000 0.500 0.000
Fe1 Fe 0.500 0.500 0.500
P3 P 0.500 0.000 0.000
O1 O 0.000 0.000 0.000

=====

#x
# GGA+U FeP3O, relaxed
# Space group: No. 221
# D(E_F) in states/eV per atom: 0.915
# Crystal system: cubic
data_FeP3O
_space_group_name_H-M_alt 'P 1'
_space_group_IT_number 1
_cell_length_a 4.202
_cell_length_b 4.202
_cell_length_c 4.202
_cell_angle_alpha 90.00
_cell_angle_beta 90.00
_cell_angle_gamma 90.00
loop_
_space_group_symop_operation_xyz
'x,y,z'
loop_
_atom_site_label
_atom_site_type_symbol
_atom_site_fract_x
_atom_site_fract_y
_atom_site_fract_z
P1 P 0.500 0.000 0.000
Fe1 Fe 0.000 0.000 0.000
O1 O 0.500 0.500 0.500
P2 P 0.000 0.000 0.500
P3 P 0.000 0.500 0.000

=====

Relative energies, in eV/atom, with the most stable structure set to zero: #w 0.000; #x 0.617.